Density functional theory data (PBE) for an optimized crystal structure of BaSmTl.

## Properties
* energy of formation: -106 meV/atom
* density: 7.14 g cm⁻³
* ΔE to the lowest computed polymorph: 178 meV per atom
* total magnetization: 0.00 μB/f.u.
* DOS(E_F): 1.396 states/eV per atom

a b c (Å): 4.2319 5.5881 5.5881
angles (deg): 120.00 90.00 90.00
Closest atoms and distances in Å follow each position.
Fractional positions:
Sm  0.1680  0.6667  0.3333  3 Tl 3.23
Ba  0.6669  0.3333  0.6667  6 Tl 3.85-3.86, 6 Sm 3.86, 2 Ba 4.23
Tl  0.1651  0.0000  0.0000  3 Sm 3.23